1.
# GGA-PBE KSNCl2, relaxed
data_KSNCl2
_chemical_formula_sum 'K1 S1 N1 Cl2'
_cell_length_a 6.0379
_cell_length_b 6.0379
_cell_length_c 3.3566
_cell_angle_alpha 90.00
_cell_angle_beta 90.00
_cell_angle_gamma 90.00
_space_group_name_H-M_alt 'P 4/m m m'
_space_group_IT_number 123
_space_group_name_Hall '-P 4 2'
loop_
_atom_site_label
_atom_site_type_symbol
_atom_site_fract_x
_atom_site_fract_y
_atom_site_fract_z
K1 K 0.0000 0.0000 0.0000
S1 S 0.5000 0.5000 0.0000
N1 N 0.5000 0.5000 0.5000
Cl1 Cl 0.0000 0.5000 0.5000
# Density   2118 kg/m³
# E above lowest polymorph   0.000 eV per atom
# Raw formation energy   41 meV/atom
# Volume   24.474 Å³ per atom

2.
# GGA-PBE CsRb4Hg2, relaxed
data_CsRb4Hg2
_chemical_formula_sum 'Cs2 Rb8 Hg4'
_cell_length_a 10.2824
_cell_length_b 8.3475
_cell_length_c 10.9075
_cell_angle_alpha 90.00
_cell_angle_beta 111.85
_cell_angle_gamma 90.00
_space_group_name_H-M_alt 'P 1 21/m 1'
_space_group_IT_number 11
loop_
_space_group_symop_operation_xyz
'x,y,z'
'-x,-y,-z'
'-x,y+1/2,-z'
'x,-y+1/2,z'
loop_
_atom_site_label
_atom_site_type_symbol
_atom_site_fract_x
_atom_site_fract_y
_atom_site_fract_z
Cs1 Cs 0.0034 0.2500 0.1482
Rb1 Rb 0.2385 0.5014 0.5765
Rb2 Rb 0.3434 0.7500 0.2639
Rb3 Rb 0.3878 0.2500 0.0192
Hg1 Hg 0.0239 0.2500 0.7399
Hg2 Hg 0.4158 0.2500 0.3745
# ΔH_f (0 K)   -130 meV per atom
# Density   3348 kg/m³
# E above lowest polymorph   0.000 eV per atom
# Volume   62.069 Å³ per atom

3.
# GGA-PBE AcPaMnN4, relaxed
data_AcPaMnN4
_chemical_formula_sum 'Ac4 Pa4 Mn4 N16'
_cell_length_a 5.3752
_cell_length_b 12.7947
_cell_length_c 5.5084
_cell_angle_alpha 90.00
_cell_angle_beta 90.00
_cell_angle_gamma 90.00
_space_group_name_H-M_alt 'C m c m'
_space_group_IT_number 63
_space_group_name_Hall '-C 2c 2'
loop_
_atom_site_label
_atom_site_type_symbol
_atom_site_fract_x
_atom_site_fract_y
_atom_site_fract_z
Ac1 Ac 0.0000 0.1040 0.2500
Pa1 Pa 0.0000 0.3829 0.2500
Mn1 Mn 0.0000 0.2375 0.7500
N1 N 0.0000 0.0930 0.7500
N2 N 0.0000 0.4514 0.7500
N3 N 0.2500 0.2500 0.0000
# Density   9976 kg/m³
# Raw formation energy   -994 meV/atom
# Volume   13.530 Å³ per atom